{
  "formula": "LiCd2AsAu",
  "functional": "GGA-PBE",
  "state": "relaxed",
  "rho_g_cm3": 7.97,
  "total_magnetization_mub_per_fu": 0.00,
  "delta_e_f_ev_per_atom": 0.364,
  "lattice": [[4.8293, 0.0000, 0.0000], [0.0000, 4.4994, 0.0000], [0.0000, 0.0000, 4.8293]],
  "species": ["As", "Li", "Au", "Cd", "Cd"],
  "frac_coords": [[0.5000, 0.5000, 0.5000], [0.0000, 0.0000, 0.0000], [0.0000, 0.5000, 0.0000], [0.0000, 0.0000, 0.5000], [0.5000, 0.0000, 0.0000]]
}

=====

{
  "formula": "YAsHRh2",
  "functional": "GGA-PBE",
  "state": "relaxed",
  "rho_g_cm3": 8.25,
  "total_magnetization_mub_per_fu": 0.00,
  "lattice": [[3.8751, 0.0000, 0.0000], [-1.9375, 5.3197, 0.0000], [0.0000, 0.0000, 7.2392]],
  "species": ["Y", "Y", "As", "As", "H", "H", "Rh", "Rh", "Rh", "Rh"],
  "frac_coords": [[0.4459, 0.8918, 0.7500], [0.5541, 0.1082, 0.2500], [0.7260, 0.4520, 0.7500], [0.2740, 0.5480, 0.2500], [0.0000, 0.0000, 0.0000], [0.0000, 0.0000, 0.5000], [0.1570, 0.3141, 0.9476], [0.8430, 0.6859, 0.0524], [0.1570, 0.3141, 0.5524], [0.8430, 0.6859, 0.4476]]
}

=====

{
  "formula": "BaScTiSi2",
  "functional": "GGA-PBE",
  "state": "relaxed",
  "rho_g_cm3": 3.90,
  "total_magnetization_mub_per_fu": 0.00,
  "lattice": [[-1.6228, -1.7905, 4.3889], [2.0889, -4.2811, -0.9741], [4.2231, 1.5605, 2.1981]],
  "species": ["Sc", "Si", "Si", "Ba", "Ti"],
  "frac_coords": [[0.0000, 0.5000, 0.0000], [0.0000, 0.0000, 0.5000], [0.5000, 0.0000, 0.0000], [0.5000, 0.5000, 0.5000], [0.0000, 0.0000, 0.0000]]
}

=====

Number 1: final energy -9.85 eV per formula unit. Number 2: final energy -33.16 eV per formula unit. Number 3: final energy -26.88 eV per formula unit.